First-principles (PBE) data for an optimized crystal structure of K3CdCu2Br9, as listed in Alexandria via LeMat-Bulk.

Results
Size of the total moment, μB/cell: 0.000
Crystal system: trigonal
Raw total energy, Ry/atom: -0.2028
ρ, kg/m³: 4014
Volume, A^3/atom: 29.7
Energy relative to the elements, uncorrected, eV per formula unit: -13.92

```
data_K3CdCu2Br9
_cell_length_a 7.4712
_cell_length_b 7.4712
_cell_length_c 9.2083
_cell_angle_alpha 90.00
_cell_angle_beta 90.00
_cell_angle_gamma 120.00
_symmetry_space_group_name_H-M 'P -3 m 1'
_symmetry_Int_Tables_number 164
_symmetry_space_group_name_Hall '-P 3 2"'
loop_
_atom_site_label
_atom_site_type_symbol
_atom_site_fract_x
_atom_site_fract_y
_atom_site_fract_z
K1 K 0.0000 0.0000 0.0000
K2 K 0.3333 0.6667 0.6702
Cd1 Cd 0.0000 0.0000 0.5000
Cu1 Cu 0.3333 0.6667 0.1566
Br1 Br 0.0000 0.5000 0.0000
Br2 Br 0.1717 0.3435 0.3220
```